# 1
This record from the Alexandria database describes a geometry-optimized ReTcNi2I structure. The functional is PBE.

abc: 4.4759 5.0122 4.4759
angles: 90.00 90.00 90.00
Atoms (fractional coordinates):
I 0.0000 0.0000 0.0000
Re 0.0000 0.5000 0.0000
Tc 0.5000 0.5000 0.5000
Ni 0.0000 0.0000 0.5000
Ni 0.5000 0.0000 0.0000

- ρ: 8.74 g/cm3
- DFT total energy: -5.1203 eV per atom
- E_form (uncorrected): 2.065 eV per atom

# 2
This record from the Alexandria database describes a geometry-optimized ZrReNiI2 structure. The functional is PBE.

abc: 4.8730 4.8500 4.8730
angles: 90.00 90.00 90.00
Atoms (fractional coordinates):
I 0.0000 0.0000 0.5000
I 0.5000 0.0000 0.0000
Re 0.5000 0.5000 0.5000
Zr 0.0000 0.5000 0.0000
Ni 0.0000 0.0000 0.0000

- ρ: 8.51 g/cm3
- DFT total energy: -4.5508 eV per atom
- E_form (uncorrected): 1.425 eV per atom

# 3
This record from the Alexandria database describes a geometry-optimized NiRhI structure. The functional is PBE.

abc: 8.7997 4.1629 7.2375
angles: 90.00 100.41 90.00
Atoms (fractional coordinates):
Ni 0.2563 0.0000 0.5079
Ni 0.2563 0.5000 0.0079
Ni 0.0898 0.0000 0.1430
Ni 0.0898 0.5000 0.6430
Rh 0.2069 0.0000 0.8330
Rh 0.2069 0.5000 0.3330
Rh 0.3860 0.0000 0.2045
Rh 0.3860 0.5000 0.7045
I 0.9205 0.0000 0.6300
I 0.9205 0.5000 0.1300
I 0.5267 0.0000 0.8989
I 0.5267 0.5000 0.3989

- ρ: 7.35 g/cm3
- ΔE to the lowest computed polymorph: 0.000 eV/f.u.
- DFT total energy: -4.7063 eV per atom
- E_form (uncorrected): 0.188 eV per atom

# 4
This record from the Alexandria database describes a geometry-optimized NiRhI3 structure. The functional is PBE.

abc: 5.4012 5.4012 5.4012
angles: 90.00 90.00 90.00
Atoms (fractional coordinates):
I 0.0000 0.5000 0.0000
I 0.0000 0.0000 0.5000
I 0.5000 0.0000 0.0000
Ni 0.5000 0.5000 0.5000
Rh 0.0000 0.0000 0.0000

- ρ: 5.72 g/cm3
- ΔE to the lowest computed polymorph: 0.000 eV/f.u.
- DFT total energy: -2.8447 eV per atom
- E_form (uncorrected): 0.712 eV per atom

# 5
This record from the Alexandria database describes a geometry-optimized Ni2RhI structure. The functional is PBE.

abc: 6.9913 6.9913 5.5843
angles: 51.25 51.25 90.00
Atoms (fractional coordinates):
I 0.0000 0.0000 0.0000
I 0.7500 0.2500 0.5000
Ni 0.6308 0.1250 0.2500
Ni 0.1192 0.6250 0.2500
Ni 0.3750 0.3692 0.7500
Ni 0.8750 0.8808 0.7500
Rh 0.5000 0.5000 0.0000
Rh 0.2500 0.7500 0.5000

- ρ: 9.08 g/cm3
- ΔE to the lowest computed polymorph: 0.000 eV/f.u.
- DFT total energy: -4.5561 eV per atom
- E_form (uncorrected): 0.560 eV per atom

# 6
This record from the Alexandria database describes a geometry-optimized NiRhI3 structure. The functional is PBE.

abc: 5.2279 5.2279 5.2279
angles: 90.00 90.00 90.00
Atoms (fractional coordinates):
I 0.0000 0.5000 0.0000
I 0.0000 0.0000 0.5000
I 0.5000 0.0000 0.0000
Ni 0.0000 0.0000 0.0000
Rh 0.5000 0.5000 0.5000

- ρ: 6.30 g/cm3
- ΔE to the lowest computed polymorph: 0.609 eV/f.u.
- DFT total energy: -2.7229 eV per atom
- E_form (uncorrected): 0.834 eV per atom

# 7
This record from the Alexandria database describes a geometry-optimized NiRhI structure. The functional is PBE.

abc: 9.3733 4.1642 7.2407
angles: 90.00 111.42 90.00
Atoms (fractional coordinates):
Ni 0.0911 0.0000 0.7012
Ni 0.0911 0.5000 0.2012
Ni 0.2559 0.0000 0.1076
Ni 0.2559 0.5000 0.6076
Rh 0.2070 0.0000 0.4204
Rh 0.2070 0.5000 0.9204
Rh 0.3850 0.0000 0.8373
Rh 0.3850 0.5000 0.3373
I 0.9232 0.0000 0.1475
I 0.9232 0.5000 0.6475
I 0.5240 0.0000 0.5663
I 0.5240 0.5000 0.0663

- ρ: 7.28 g/cm3
- ΔE to the lowest computed polymorph: 0.001 eV/f.u.
- DFT total energy: -4.7060 eV per atom
- E_form (uncorrected): 0.188 eV per atom

# 8
This record from the Alexandria database describes a geometry-optimized NiRhI structure. The functional is PBE.

abc: 8.7275 3.8558 7.7142
angles: 90.00 95.65 90.00
Atoms (fractional coordinates):
Ni 0.9374 0.0000 0.4512
Ni 0.9374 0.5000 0.9512
Ni 0.7322 0.0000 0.0450
Ni 0.7322 0.5000 0.5450
Rh 0.8170 0.0000 0.7432
Rh 0.8170 0.5000 0.2432
Rh 0.6399 0.0000 0.3414
Rh 0.6399 0.5000 0.8414
I 0.0508 0.0000 0.1569
I 0.0508 0.5000 0.6569
I 0.4363 0.0000 0.8693
I 0.4363 0.5000 0.3693

- ρ: 7.42 g/cm3
- ΔE to the lowest computed polymorph: 0.052 eV/f.u.
- DFT total energy: -4.6888 eV per atom
- E_form (uncorrected): 0.205 eV per atom

# 9
This record from the Alexandria database describes a geometry-optimized NiRh2I8 structure. The functional is PBE.

abc: 3.9724 10.2217 9.7465
angles: 87.10 101.76 90.00
Atoms (fractional coordinates):
Ni 0.5000 0.0000 0.0000
Rh 0.1321 0.7653 0.2643
Rh 0.8679 0.2347 0.7357
I 0.6360 0.5892 0.2719
I 0.3603 0.0636 0.7206
I 0.1690 0.2365 0.3381
I 0.9941 0.8080 0.9883
I 0.8310 0.7635 0.6619
I 0.6397 0.9364 0.2794
I 0.3640 0.4108 0.7281
I 0.0059 0.1920 0.0117

- ρ: 5.49 g/cm3
- DFT total energy: -3.0017 eV per atom
- E_form (uncorrected): -0.012 eV per atom

# 10
This record from the Alexandria database describes a geometry-optimized Ni3RhI structure. The functional is PBE.

abc: 4.6170 4.6170 4.6170
angles: 90.00 90.00 90.00
Atoms (fractional coordinates):
I 0.5000 0.5000 0.5000
Ni 0.0000 0.5000 0.0000
Ni 0.0000 0.0000 0.5000
Ni 0.5000 0.0000 0.0000
Rh 0.0000 0.0000 0.0000

- ρ: 6.85 g/cm3
- ΔE to the lowest computed polymorph: 0.000 eV/f.u.
- DFT total energy: -4.1388 eV per atom
- E_form (uncorrected): 1.110 eV per atom

# 11
This record from the Alexandria database describes a geometry-optimized NiRhI structure. The functional is PBE.

abc: 8.7581 3.7386 7.6937
angles: 90.00 98.62 90.00
Atoms (fractional coordinates):
Ni 0.9368 0.0000 0.2338
Ni 0.9368 0.5000 0.7338
Ni 0.7268 0.0000 0.5951
Ni 0.7268 0.5000 0.0951
Rh 0.8207 0.0000 0.9129
Rh 0.8207 0.5000 0.4129
Rh 0.6165 0.0000 0.2715
Rh 0.6165 0.5000 0.7715
I 0.0575 0.0000 0.5530
I 0.0575 0.5000 0.0530
I 0.4554 0.0000 0.9285
I 0.4554 0.5000 0.4285

- ρ: 7.69 g/cm3
- ΔE to the lowest computed polymorph: 0.126 eV/f.u.
- DFT total energy: -4.6643 eV per atom
- E_form (uncorrected): 0.230 eV per atom

# 12
This record from the Alexandria database describes a geometry-optimized Ni5RhI12 structure. The functional is PBE.

abc: 6.8574 6.8634 14.1949
angles: 89.68 89.35 60.03
Atoms (fractional coordinates):
Ni 0.5000 0.0000 0.5000
Ni 0.1666 0.6667 0.5000
Ni 0.8334 0.3333 0.5000
Ni 0.6667 0.6666 0.0000
Ni 0.3333 0.3334 0.0000
Rh 0.0000 0.0000 0.0000
I 0.8357 0.0000 0.3942
I 0.1643 0.0000 0.6058
I 0.6755 0.0000 0.8946
I 0.3245 0.0000 0.1054
I 0.3288 0.6731 0.8944
I 0.9981 0.6731 0.1056
I 0.0019 0.3269 0.8944
I 0.6712 0.3269 0.1056
I 0.4974 0.3335 0.6061
I 0.8310 0.6665 0.6061
I 0.1690 0.3335 0.3939
I 0.5026 0.6665 0.3939

- ρ: 5.51 g/cm3
- DFT total energy: -3.1446 eV per atom
- E_form (uncorrected): -0.097 eV per atom

# 13
This record from the Alexandria database describes a geometry-optimized NiRhI structure. The functional is PBE.

abc: 4.1400 4.1409 9.0796
angles: 98.55 94.21 120.02
Atoms (fractional coordinates):
Ni 0.2240 0.6336 0.2478
Ni 0.4783 0.2269 0.0907
Rh 0.8699 0.9498 0.2085
Rh 0.6216 0.3669 0.3822
I 0.9008 0.6414 0.9230
I 0.3508 0.7850 0.5339

- ρ: 7.30 g/cm3
- ΔE to the lowest computed polymorph: 0.046 eV/f.u.
- DFT total energy: -4.6911 eV per atom
- E_form (uncorrected): 0.203 eV per atom

# 14
This record from the Alexandria database describes a geometry-optimized Ni2RhI structure. The functional is PBE.

abc: 4.3764 4.3764 4.3764
angles: 60.00 60.00 60.00
Atoms (fractional coordinates):
I 0.5000 0.5000 0.5000
Ni 0.2500 0.2500 0.2500
Ni 0.7500 0.7500 0.7500
Rh 0.0000 0.0000 0.0000

- ρ: 9.73 g/cm3
- ΔE to the lowest computed polymorph: 0.034 eV/f.u.
- DFT total energy: -4.5477 eV per atom
- E_form (uncorrected): 0.568 eV per atom

# 15
This record from the Alexandria database describes a geometry-optimized NiRhI structure. The functional is PBE.

abc: 8.7892 4.1385 7.1761
angles: 90.00 96.17 90.00
Atoms (fractional coordinates):
Ni 0.7519 0.0000 0.7069
Ni 0.7519 0.5000 0.2069
Ni 0.9112 0.0000 0.4059
Ni 0.9112 0.5000 0.9059
Rh 0.7913 0.0000 0.0493
Rh 0.7913 0.5000 0.5493
Rh 0.6162 0.0000 0.3503
Rh 0.6162 0.5000 0.8503
I 0.0806 0.0000 0.9343
I 0.0806 0.5000 0.4343
I 0.4626 0.0000 0.6668
I 0.4626 0.5000 0.1668

- ρ: 7.38 g/cm3
- ΔE to the lowest computed polymorph: 0.041 eV/f.u.
- DFT total energy: -4.6925 eV per atom
- E_form (uncorrected): 0.202 eV per atom

# 16
This record from the Alexandria database describes a geometry-optimized NiRh2I6 structure. The functional is PBE.

abc: 4.0026 7.6972 10.2709
angles: 110.02 90.00 105.07
Atoms (fractional coordinates):
Ni 0.0000 0.0000 0.5000
Rh 0.6642 0.3284 0.8322
Rh 0.3358 0.6716 0.1678
I 0.2998 0.5997 0.8888
I 0.7001 0.4003 0.1112
I 0.9696 0.9392 0.2175
I 0.6355 0.2711 0.5572
I 0.0304 0.0608 0.7825
I 0.3644 0.7289 0.4428

- ρ: 5.96 g/cm3
- DFT total energy: -3.3974 eV per atom
- E_form (uncorrected): -0.088 eV per atom

# 17
This record from the Alexandria database describes a geometry-optimized Ni2RhI6 structure. The functional is PBE.

abc: 3.9726 8.4269 9.1274
angles: 106.75 102.57 90.00
Atoms (fractional coordinates):
Ni 0.8308 0.6585 0.6615
Ni 0.1692 0.3415 0.3385
Rh 0.5000 0.0000 0.0000
I 0.3416 0.8924 0.6832
I 0.0039 0.2229 0.0078
I 0.6712 0.5639 0.3425
I 0.9961 0.7771 0.9922
I 0.6584 0.1076 0.3168
I 0.3288 0.4361 0.6575

- ρ: 5.72 g/cm3
- DFT total energy: -3.2360 eV per atom
- E_form (uncorrected): -0.101 eV per atom

# 18
This record from the Alexandria database describes a geometry-optimized NiRh2I structure. The functional is PBE.

abc: 3.8441 3.8441 9.4952
angles: 78.32 78.32 90.00
Atoms (fractional coordinates):
I 0.0000 0.0000 0.0000
I 0.7500 0.2500 0.5000
Ni 0.5000 0.5000 0.0000
Ni 0.2500 0.7500 0.5000
Rh 0.6045 0.1250 0.2500
Rh 0.1455 0.6250 0.2500
Rh 0.3750 0.3955 0.7500
Rh 0.8750 0.8545 0.7500

- ρ: 9.67 g/cm3
- ΔE to the lowest computed polymorph: 0.016 eV/f.u.
- DFT total energy: -4.9763 eV per atom
- E_form (uncorrected): 0.532 eV per atom

# 19
This record from the Alexandria database describes a geometry-optimized NiRh2I structure. The functional is PBE.

abc: 4.4557 4.4557 4.4557
angles: 60.00 60.00 60.00
Atoms (fractional coordinates):
I 0.5000 0.5000 0.5000
Ni 0.0000 0.0000 0.0000
Rh 0.2500 0.2500 0.2500
Rh 0.7500 0.7500 0.7500

- ρ: 10.39 g/cm3
- ΔE to the lowest computed polymorph: 0.000 eV/f.u.
- DFT total energy: -4.9804 eV per atom
- E_form (uncorrected): 0.528 eV per atom

# 20
This record from the Alexandria database describes a geometry-optimized NiRhI4 structure. The functional is PBE.

abc: 3.9850 7.9038 6.9008
angles: 116.36 90.00 104.60
Atoms (fractional coordinates):
Ni 0.5000 0.0000 0.5000
Rh 0.0000 0.0000 0.0000
I 0.3894 0.7788 0.0488
I 0.1085 0.2170 0.4398
I 0.6106 0.2212 0.9512
I 0.8915 0.7830 0.5602

- ρ: 5.95 g/cm3
- DFT total energy: -3.3194 eV per atom
- E_form (uncorrected): -0.097 eV per atom